Entry 1:
Compound: AlFeP2
Source: the Alexandria database
Functional: GGA-PBE
Structure: optimized geometry

```
AlFeP2
1.0
1.393 0.804 8.807
-1.393 0.804 8.807
0.000 -1.608 8.807
Al Fe P
1 1 2
Direct
0.000 0.000 0.000 Al
0.259 0.259 0.259 Fe
0.532 0.532 0.532 P
0.741 0.741 0.741 P
```

Values from the calculation:
V = 59 Å³/cell
VASP energy = -0.422 Ry per atom
ΔE_f = 7 kJ/mol of formula units

=====

Entry 2:
Compound: AlFe2P
Source: the Alexandria database
Functional: GGA-PBE
Structure: optimized geometry

```
AlFe2P
1.0
2.779 0.000 0.000
0.000 2.779 0.000
0.000 0.000 5.674
Al Fe P
1 2 1
Direct
0.000 0.000 0.000 Al
0.500 0.500 0.274 Fe
0.500 0.500 0.726 Fe
0.000 0.000 0.500 P
```

Values from the calculation:
V = 44 Å³/cell
relative energy among the computed polymorphs = 0 meV/atom
VASP energy = -0.508 Ry per atom
ΔE_f = -154 kJ/mol of formula units

=====

Entry 3:
Compound: AlFe2P
Source: the Alexandria database
Functional: GGA-PBE
Structure: optimized geometry

```
AlFe2P
1.0
-1.728 1.728 3.873
1.728 -1.728 3.873
1.728 1.728 -3.873
Al Fe P
1 2 1
Direct
0.000 0.000 0.000 Al
0.250 0.750 0.500 Fe
0.500 0.500 0.000 Fe
0.750 0.250 0.500 P
```

Values from the calculation:
V = 46 Å³/cell
relative energy among the computed polymorphs = 222 meV/atom
VASP energy = -0.492 Ry per atom
ΔE_f = -68 kJ/mol of formula units

=====

Number 1 is which compound? AlFeP2

=====

Among the records above, which one has the lowest ΔE_f? number 2